Density functional theory data (PBE) for an optimized crystal structure of AcMgZnSn2.

Results
The value obtained for the formation energy is -0.404 eV per atom. Its crystal system is tetragonal. The calculation puts the density of states at the Fermi level at 4.19 states/eV per cell.

Lattice parameters (Å, degrees): 4.5804 4.5804 12.7513 90.00 90.00 90.00
Space group I-4m2 (No. 119)
Asymmetric unit:
Ac: 0.0000 0.0000 0.0000
Mg: 0.0000 0.5000 0.7500
Zn: 0.0000 0.5000 0.2500
Sn: 0.0000 0.0000 0.3831